# 1
Below is crystalline Mn5Mo at its relaxed geometry, with properties calculated at the PBEsol level.

a = 4.593 Å, b = 4.593 Å, c = 4.593 Å
α = 60.00°, β = 60.00°, γ = 60.00°
Fractional coordinates of all 6 atoms:
Mn 0.623 0.623 0.623
Mn 0.623 0.130 0.623
Mn 0.130 0.623 0.623
Mn 0.623 0.623 0.130
Mn 0.250 0.250 0.250
Mo 0.000 0.000 0.000

Summary:
- Magnetization: 0.79 μB/f.u.


# 2
Below is crystalline Lu3Sc at its relaxed geometry, with properties calculated at the PBEsol level.

a = 5.298 Å, b = 6.829 Å, c = 6.829 Å
α = 120.00°, β = 90.00°, γ = 90.00°
Fractional coordinates of all 8 atoms:
Lu 0.750 0.337 0.168
Lu 0.250 0.663 0.832
Sc 0.750 0.333 0.667
Lu 0.250 0.168 0.337
Lu 0.750 0.832 0.168
Lu 0.250 0.168 0.832
Sc 0.250 0.667 0.333
Lu 0.750 0.832 0.663

Summary:
- Magnetization: 0.00 μB/f.u.


# 3
Below is crystalline Sr2TlHg2 at its relaxed geometry, with properties calculated at the PBEsol level.

a = 4.302 Å, b = 8.383 Å, c = 8.383 Å
α = 90.00°, β = 90.00°, γ = 90.00°
Fractional coordinates of all 10 atoms:
Sr 0.500 0.677 0.823
Hg 0.000 0.376 0.876
Sr 0.500 0.823 0.323
Sr 0.500 0.323 0.177
Sr 0.500 0.177 0.677
Tl 0.000 0.000 0.000
Hg 0.000 0.124 0.376
Hg 0.000 0.876 0.624
Hg 0.000 0.624 0.124
Tl 0.000 0.500 0.500

Summary:
- Magnetization: 0.00 μB/f.u.


# 4
Below is crystalline ScCd2Hg at its relaxed geometry, with properties calculated at the PBEsol level.

a = 3.113 Å, b = 4.765 Å, c = 5.758 Å
α = 90.00°, β = 99.64°, γ = 90.00°
Fractional coordinates of all 4 atoms:
Hg 0.500 0.500 0.000
Cd 0.608 0.000 0.747
Cd 0.392 0.000 0.253
Sc 0.000 0.500 0.500

Summary:
- Magnetization: 0.00 μB/f.u.


# 5
Below is crystalline Li2SbS2 at its relaxed geometry, with properties calculated at the PBEsol level.

a = 3.446 Å, b = 7.216 Å, c = 7.216 Å
α = 90.00°, β = 90.00°, γ = 90.00°
Fractional coordinates of all 10 atoms:
Li 0.500 0.364 0.136
Li 0.500 0.636 0.864
S 0.000 0.327 0.827
S 0.000 0.827 0.673
S 0.000 0.173 0.327
Sb 0.000 0.000 0.000
S 0.000 0.673 0.173
Sb 0.000 0.500 0.500
Li 0.500 0.864 0.364
Li 0.500 0.136 0.636

Summary:
- Magnetization: 0.00 μB/f.u.
- Uncorrected formation energy: -0.7561 eV per atom


# 6
Below is crystalline SrSeBr at its relaxed geometry, with properties calculated at the PBEsol level.

a = 3.602 Å, b = 3.602 Å, c = 7.312 Å
α = 104.26°, β = 104.26°, γ = 90.00°
Fractional coordinates of all 3 atoms:
Br 0.966 0.966 0.932
Se 0.693 0.693 0.386
Sr 0.341 0.341 0.682

Summary:
- Magnetization: 0.00 μB/f.u.
- Uncorrected formation energy: -1.2637 eV per atom


# 7
Below is crystalline Li4ZnCd3 at its relaxed geometry, with properties calculated at the PBEsol level.

a = 4.580 Å, b = 4.580 Å, c = 7.913 Å
α = 73.18°, β = 73.18°, γ = 60.00°
Fractional coordinates of all 8 atoms:
Li 0.497 0.497 0.510
Cd 0.255 0.255 0.236
Li 0.003 0.003 0.991
Li 0.623 0.623 0.130
Li 0.126 0.126 0.622
Zn 0.376 0.376 0.872
Cd 0.746 0.746 0.762
Cd 0.874 0.874 0.377

Summary:
- Magnetization: 0.00 μB/f.u.


# 8
Below is crystalline LiIn2Hg at its relaxed geometry, with properties calculated at the PBEsol level.

a = 3.404 Å, b = 5.073 Å, c = 5.489 Å
α = 100.24°, β = 90.00°, γ = 109.60°
Fractional coordinates of all 4 atoms:
Li 0.500 0.000 0.000
In 0.249 0.498 0.239
Hg 0.000 0.000 0.500
In 0.751 0.502 0.761

Summary:
- Magnetization: 0.00 μB/f.u.


Total DFT energy (no corrections) list, top to bottom, in eV/atom: -10.05 -5.30 -1.97 -2.60 -4.21 -3.78 -1.87 -2.29